[1]
Below is crystalline Pu3IrS6 at its relaxed geometry, with properties calculated at the PBE level.

Cell lengths 11.6914, 11.6914, 11.0658 Å; angles 90.00, 90.00, 120.00 degrees
Space group R-3 (No. 148, hexagonal axes)
Inequivalent atoms, fractional coordinates:
Pu: 0.0500 0.7755 0.1574 [18 per cell]
Ir: 0.0000 0.0000 0.0000 [3 per cell]
Ir: 0.0000 0.0000 0.5000 [3 per cell]
S: 0.0333 0.8306 0.8981 [18 per cell]
S: 0.0540 0.8563 0.3910 [18 per cell]

V = 1309.9 Å³/cell
theoretical density = 8.49 g/cm3
energy relative to the elements, uncorrected = -1.279 eV/atom
total moment = 1.501 μB/atom

=====

[2]
Below is crystalline RbPt3W at its relaxed geometry, with properties calculated at the PBE level.

Cell lengths 4.983, 4.983, 4.983 Å; angles 90.00, 90.00, 90.00 degrees
Space group Pm-3m (No. 221)
Inequivalent atoms, fractional coordinates:
Rb: 0.000 0.000 0.000 [1 per cell]
Pt: 0.000 0.500 0.500 [3 per cell]
W: 0.500 0.500 0.500 [1 per cell]

V = 123.7 Å³/cell
theoretical density = 11.47 g/cm3
ΔE_f = 0.65 eV/atom
energy relative to the lowest polymorph listed for this composition = 0.000 eV/atom
total moment = 0.000 μB/atom

=====

[3]
Below is crystalline Zr3CuN at its relaxed geometry, with properties calculated at the PBE level.

Cell lengths 8.683, 11.989, 3.341 Å; angles 90.00, 90.00, 90.00 degrees
Space group Cmmm (No. 65)
Inequivalent atoms, fractional coordinates:
Zr: 0.000 0.187 0.000 [4 per cell]
Zr: 0.187 0.367 0.500 [8 per cell]
Cu: 0.000 0.000 0.500 [2 per cell]
Cu: 0.000 0.500 0.000 [2 per cell]
N: 0.250 0.250 0.000 [4 per cell]

V = 347.8 Å³/cell
theoretical density = 6.71 g/cm3
energy relative to the elements, uncorrected = -0.728 eV/atom
total moment = 0.000 μB/atom

=====

[4]
Below is crystalline BaCaAcY at its relaxed geometry, with properties calculated at the PBE level.

Cell lengths 8.838, 8.838, 8.838 Å; angles 90.00, 90.00, 90.00 degrees
Space group F-43m (No. 216)
Inequivalent atoms, fractional coordinates:
Ba: 0.000 0.000 0.000 [4 per cell]
Ca: 0.250 0.250 0.750 [4 per cell]
Ac: 0.250 0.250 0.250 [4 per cell]
Y: 0.000 0.000 0.500 [4 per cell]

V = 690.3 Å³/cell
theoretical density = 4.75 g/cm3
ΔE_f = 0.17 eV/atom
total moment = 0.000 μB/atom

=====

Which of these has the highest V?
Pu3IrS6